Entry 1:
Compound: Ag3SeI2
Source: Alexandria via LeMat-Bulk
Functional: PBE-GGA
Structure: relaxed

CIF file:
```
data_Ag3SeI2
_chemical_formula_sum 'Ag12 Se4 I8'
_symmetry_space_group_name_H-M 'C 1 2/c 1'
_symmetry_Int_Tables_number 15
_symmetry_space_group_name_Hall '-C 2yc'
_cell_length_a 12.711
_cell_length_b 7.783
_cell_length_c 7.886
_cell_angle_alpha 90.00
_cell_angle_beta 113.55
_cell_angle_gamma 90.00
loop_
_atom_site_label
_atom_site_fract_x
_atom_site_fract_y
_atom_site_fract_z
Ag1 0.000 0.169 0.250
Ag2 0.152 0.423 0.097
Se1 0.000 0.498 0.750
I1 0.171 0.024 0.050
```

Values from the calculation:
The uncorrected formation energy is -84 meV per atom. Its crystal system is monoclinic. As for the volume: 29.8 A^3/atom.

---

Entry 2:
Compound: MnCd2Hg
Source: Alexandria via LeMat-Bulk
Functional: PBE-GGA
Structure: relaxed

CIF file:
```
data_MnCd2Hg
_chemical_formula_sum 'Mn1 Cd2 Hg1'
_symmetry_space_group_name_H-M 'P 4/m m m'
_symmetry_Int_Tables_number 123
_symmetry_space_group_name_Hall '-P 4 2'
_cell_length_a 4.281
_cell_length_b 4.281
_cell_length_c 4.363
_cell_angle_alpha 90.00
_cell_angle_beta 90.00
_cell_angle_gamma 90.00
loop_
_atom_site_label
_atom_site_fract_x
_atom_site_fract_y
_atom_site_fract_z
Mn1 0.000 0.000 0.000
Cd1 0.000 0.500 0.500
Hg1 0.500 0.500 0.000
```

Values from the calculation:
Its crystal system is tetragonal. Its formation energy is 0.198 eV/atom. As for the volume: 20.0 A^3/atom.

---

Entry 3:
Compound: Cs3Se4S
Source: Alexandria via LeMat-Bulk
Functional: PBE-GGA
Structure: relaxed

CIF file:
```
data_Cs3Se4S
_chemical_formula_sum 'Cs6 Se8 S2'
_symmetry_space_group_name_H-M 'C 1 2/m 1'
_symmetry_Int_Tables_number 12
_symmetry_space_group_name_Hall '-C 2y'
_cell_length_a 25.630
_cell_length_b 5.153
_cell_length_c 5.343
_cell_angle_alpha 90.00
_cell_angle_beta 100.21
_cell_angle_gamma 90.00
loop_
_atom_site_label
_atom_site_fract_x
_atom_site_fract_y
_atom_site_fract_z
Cs1 0.000 0.000 0.000
Cs2 0.179 0.000 0.138
Se1 0.089 0.500 0.748
Se2 0.175 0.500 0.633
S1 0.000 0.500 0.500
```

Values from the calculation:
The uncorrected formation energy is -700 meV per atom. Its crystal system is monoclinic. As for the volume: 43.4 A^3/atom.

---

Entry 4:
Compound: LiTaMn2
Source: Alexandria via LeMat-Bulk
Functional: PBE-GGA
Structure: relaxed

CIF file:
```
data_LiTaMn2
_chemical_formula_sum 'Li2 Ta2 Mn4'
_symmetry_space_group_name_H-M 'C 1 2/m 1'
_symmetry_Int_Tables_number 12
_symmetry_space_group_name_Hall '-C 2y'
_cell_length_a 5.251
_cell_length_b 8.409
_cell_length_c 2.614
_cell_angle_alpha 90.00
_cell_angle_beta 112.16
_cell_angle_gamma 90.00
loop_
_atom_site_label
_atom_site_fract_x
_atom_site_fract_y
_atom_site_fract_z
Li1 0.000 0.000 0.000
Ta1 0.000 0.500 0.000
Mn1 0.250 0.250 0.500
```

Values from the calculation:
Its crystal system is monoclinic. Its formation energy is 0.380 eV/atom. As for the volume: 13.4 A^3/atom.

---

Entry 5:
Compound: MgPbS3
Source: Alexandria via LeMat-Bulk
Functional: PBE-GGA
Structure: relaxed

CIF file:
```
data_MgPbS3
_chemical_formula_sum 'Mg1 Pb1 S3'
_symmetry_space_group_name_H-M 'P m -3 m'
_symmetry_Int_Tables_number 221
_symmetry_space_group_name_Hall '-P 4 2 3'
_cell_length_a 4.852
_cell_length_b 4.852
_cell_length_c 4.852
_cell_angle_alpha 90.00
_cell_angle_beta 90.00
_cell_angle_gamma 90.00
loop_
_atom_site_label
_atom_site_fract_x
_atom_site_fract_y
_atom_site_fract_z
Mg1 0.000 0.000 0.000
Pb1 0.500 0.500 0.500
S1 0.000 0.000 0.500
```

Values from the calculation:
The uncorrected formation energy is -199 meV per atom. Its crystal system is cubic. As for the volume: 22.8 A^3/atom. The calculation puts the offset from the most stable computed form at 0.0 meV/atom.

---

Entry 6:
Compound: NpMnP2
Source: Alexandria via LeMat-Bulk
Functional: PBE-GGA
Structure: relaxed

CIF file:
```
data_NpMnP2
_chemical_formula_sum 'Np3 Mn3 P6'
_symmetry_space_group_name_H-M 'R 3 m'
_symmetry_Int_Tables_number 160
_symmetry_space_group_name_Hall 'R 3 -2"'
_cell_length_a 3.6015
_cell_length_b 3.6015
_cell_length_c 18.1789
_cell_angle_alpha 90.00
_cell_angle_beta 90.00
_cell_angle_gamma 120.00
loop_
_atom_site_label
_atom_site_fract_x
_atom_site_fract_y
_atom_site_fract_z
Np1 0.0000 0.0000 0.0000
Mn1 0.0000 0.0000 0.1764
P1 0.0000 0.0000 0.4380
P2 0.0000 0.0000 0.5708
```

Values from the calculation:
Its crystal system is trigonal. Its formation energy is -0.517 eV/atom. As for the volume: 17.0 A^3/atom. The calculation puts the offset from the most stable computed form at 119.7 meV/atom.

---

Entry 7:
Compound: Zn2CuTe
Source: Alexandria via LeMat-Bulk
Functional: PBE-GGA
Structure: relaxed

CIF file:
```
data_Zn2CuTe
_chemical_formula_sum 'Zn4 Cu2 Te2'
_symmetry_space_group_name_H-M 'I m m 2'
_symmetry_Int_Tables_number 44
_symmetry_space_group_name_Hall 'I 2 -2'
_cell_length_a 4.279
_cell_length_b 6.653
_cell_length_c 6.176
_cell_angle_alpha 90.00
_cell_angle_beta 90.00
_cell_angle_gamma 90.00
loop_
_atom_site_label
_atom_site_fract_x
_atom_site_fract_y
_atom_site_fract_z
Zn1 0.000 0.000 0.000
Zn2 0.000 0.500 0.291
Cu1 0.000 0.000 0.592
Te1 0.000 0.500 0.824
```

Values from the calculation:
The uncorrected formation energy is 164 meV per atom. Its crystal system is orthorhombic. As for the volume: 22.0 A^3/atom. The calculation puts the offset from the most stable computed form at 145.0 meV/atom.